Material: LaTe2O8
Method: DFT, GGA-PBE
State: relaxed

Structure (POSCAR):
```
LaTe2O8
1.0
5.5181 -0.2956 1.0730
0.5362 5.1335 2.6578
-0.3582 -0.1868 5.7915
La Te O
1 2 8
Direct
0.0000 0.0000 0.0000
0.4668 0.2744 0.2744
0.5332 0.7256 0.7256
0.3322 0.6452 0.0562
0.6678 0.9438 0.3548
0.2045 0.1805 0.1805
0.7955 0.8195 0.8195
0.3322 0.0562 0.6452
0.6678 0.3548 0.9438
0.6646 0.4147 0.4147
0.3354 0.5853 0.5853
```

ΔE_f (raw) = -13.91 eV/f.u.
M_tot = 1.048 μB/cell
E above lowest polymorph = 0 meV/atom
space group = C2/m (12)